The following is a DFT calculation (PBE) of crystalline PaBiO2 at its relaxed geometry.

The structure in extended XYZ format:
```
4
Lattice="3.594 0.000 0.000 1.797 3.112 0.000 1.797 1.037 9.102" Properties=species:S:1:pos:R:3 pbc="T T T"
O 1.797 1.037 5.447
Pa 3.594 2.075 4.551
Bi 0.000 0.000 0.000
O 5.391 3.112 3.655
```

E_form (uncorrected) in eV/atom: -2.2486
SG: R-3m

The following is a DFT calculation (PBE) of crystalline Ni2Os at its relaxed geometry.

The structure in extended XYZ format:
```
18
Lattice="-0.894 3.872 2.092 -0.173 -3.871 2.270 12.086 1.192 2.957" Properties=species:S:1:pos:R:3 pbc="T T T"
Ni 7.644 -0.495 4.182
Ni 10.013 -0.295 3.222
Ni 9.601 -1.587 5.429
Os 3.623 -0.892 3.198
Ni 5.332 0.597 4.384
Ni 5.985 -0.696 2.236
Os 4.021 0.397 0.984
Ni 0.000 0.000 0.000
Ni 3.375 1.688 3.137
Ni 5.744 1.889 2.177
Os 8.065 0.796 1.973
Ni 1.063 2.780 3.339
Os -0.646 1.292 2.153
Ni 9.360 0.992 5.373
Ni 1.302 0.201 3.402
Ni 1.716 1.487 1.191
Os 7.396 2.085 4.121
Os 11.664 -0.098 5.166
```

Relative energy among the computed polymorphs in eV/f.u.: 0.03
SG: R32

The following is a DFT calculation (PBE) of crystalline TmFeGe3 at its relaxed geometry.

The structure in extended XYZ format:
```
10
Lattice="-0.187 0.742 -5.508 3.627 -4.028 -0.665 -4.488 -3.978 -0.384" Properties=species:S:1:pos:R:3 pbc="T T T"
Tm -2.107 -3.720 -2.745
Fe 0.999 -2.555 -4.105
Ge -1.417 -6.824 -3.466
Ge -2.992 -2.489 -5.160
Fe -0.294 -5.868 -1.701
Ge -0.357 -3.253 -5.828
Tm -0.907 -0.304 -5.133
Ge -0.009 -1.588 -2.332
Ge -2.478 -5.133 -6.009
Ge 0.950 -4.726 -3.263
```

Raw total energy in eV/cell: -57.2
SG: Pmn2_1

The following is a DFT calculation (PBE) of crystalline AcAsPPd at its relaxed geometry.

The structure in extended XYZ format:
```
4
Lattice="-3.771 -1.715 -0.790 1.242 -3.700 2.103 -0.464 4.548 3.602" Properties=species:S:1:pos:R:3 pbc="T T T"
As -2.623 0.026 1.206
Pd -1.550 -2.307 1.147
Ac -0.564 -0.489 3.757
P -3.463 0.923 3.271
```

Raw total energy in eV/cell: -23.1
SG: Cm

Listing Fermi-level density of states for the structures above in their given order: 1.232 1.597 0.578 0.450 states/eV per atom.